1.
{"formula": "ReCl3F", "functional": "PBE-GGA", "state": "relaxed", "cell": [[7.309, 0.000, 0.000], [0.000, 6.960, 1.217], [0.000, 2.577, 11.872]], "species": ["Re", "Re", "Cl", "Cl", "Re", "Cl", "Cl", "F", "Cl", "Cl", "F", "Cl", "Re", "F", "Cl", "Cl", "Cl", "F", "Cl", "Cl"], "frac_coords": [[0.131, 0.954, 0.352], [0.869, 0.046, 0.648], [0.668, 0.690, 0.911], [0.332, 0.310, 0.089], [0.869, 0.954, 0.852], [0.098, 0.826, 0.641], [0.657, 0.169, 0.873], [0.944, 0.247, 0.102], [0.343, 0.831, 0.127], [0.332, 0.690, 0.411], [0.056, 0.753, 0.898], [0.902, 0.174, 0.359], [0.131, 0.046, 0.148], [0.944, 0.753, 0.398], [0.343, 0.169, 0.373], [0.668, 0.310, 0.589], [0.902, 0.826, 0.141], [0.056, 0.247, 0.602], [0.657, 0.831, 0.627], [0.098, 0.174, 0.859]], "crystal_system": "monoclinic", "e_form_raw_mev_per_atom": -970, "de_polymorph_ev_per_atom": 0.000}

---

2.
{"formula": "Na8Cd2Ag", "functional": "PBE-GGA", "state": "relaxed", "cell": [[-1.832, -4.902, 1.562], [-1.594, -1.580, -6.829], [9.240, -0.082, 1.034]], "species": ["Na", "Na", "Na", "Na", "Na", "Cd", "Na", "Na", "Ag", "Na", "Cd"], "frac_coords": [[0.382, 0.579, 0.763], [0.347, 0.084, 0.693], [0.987, 0.240, 0.974], [0.618, 0.421, 0.237], [0.185, 0.221, 0.369], [0.811, 0.316, 0.623], [0.653, 0.916, 0.307], [0.013, 0.760, 0.026], [0.500, 0.000, 0.000], [0.815, 0.779, 0.631], [0.189, 0.684, 0.377]], "crystal_system": "monoclinic", "formation_enthalpy_0k_ev_per_atom": -0.0253}

---

3.
{"formula": "AlCrTe2N", "functional": "PBE-GGA", "state": "relaxed", "cell": [[5.407, 0.000, 0.000], [0.000, 5.407, 0.000], [0.000, 0.000, 3.539]], "species": ["N", "Te", "Cr", "Te", "Al"], "frac_coords": [[0.000, 0.000, 0.500], [0.000, 0.500, 0.000], [0.000, 0.000, 0.000], [0.500, 0.000, 0.000], [0.500, 0.500, 0.500]], "crystal_system": "tetragonal", "e_form_raw_mev_per_atom": 163, "de_polymorph_ev_per_atom": 0.000}